Record 1
GaBiSe3: relaxed, PBE.

- Offset from the most stable computed form: 3.998 eV/f.u.
- Uncorrected formation energy: 0.315 eV per atom

a b c (Å): 5.5489 5.5489 5.5489
angles (deg): 90.00 90.00 90.00
Closest atoms and distances in Å follow each position.
Space group Pm-3m (No. 221)
Unique sites:
Ga1 0.0000 0.0000 0.0000 [1 per cell]  12 Se 3.92
Bi1 0.5000 0.5000 0.5000 [1 per cell]  6 Se 2.77
Se1 0.0000 0.5000 0.5000 [3 per cell]  2 Bi 2.77

Record 2
Ga2BiSe: relaxed, PBE.

- Offset from the most stable computed form: 0.336 eV/f.u.
- Uncorrected formation energy: -0.027 eV per atom

a b c (Å): 3.6241 3.6241 28.0375
angles (deg): 90.00 90.00 120.00
Closest atoms and distances in Å follow each position.
Space group R-3m (No. 166, hexagonal axes)
Unique sites:
Ga1 0.0000 0.0000 0.1057 [6 per cell]  3 Se 2.70, 1 Bi 2.96
Bi1 0.0000 0.0000 0.0000 [3 per cell]  2 Ga 2.96
Se1 0.0000 0.0000 0.5000 [3 per cell]  6 Ga 2.70

Record 3
Ga12Bi3Se5: relaxed, PBE.

- Uncorrected formation energy: -0.051 eV per atom

a b c (Å): 16.7043 16.7043 16.7043
angles (deg): 90.00 90.00 90.00
Closest atoms and distances in Å follow each position.
Space group Ia-3d (No. 230)
Unique sites:
Ga1 0.0156 0.0668 0.6546 [96 per cell]  2 Se 2.67-2.83
Bi1 0.0000 0.2500 0.1250 [24 per cell]  8 Ga 3.05-3.11
Se1 0.0000 0.0000 0.0000 [16 per cell]  6 Ga 2.83
Se2 0.0000 0.2500 0.3750 [24 per cell]  4 Ga 2.67

Record 4
GaBiSe3: relaxed, PBE.

- Offset from the most stable computed form: 0.281 eV/f.u.
- Uncorrected formation energy: -0.428 eV per atom

a b c (Å): 7.8675 3.9658 10.2776
angles (deg): 90.00 90.62 90.00
Closest atoms and distances in Å follow each position.
Space group P2_1/m (No. 11)
Unique sites:
Ga1 0.0452 0.2500 0.3772 [2 per cell]  4 Se 2.36-2.52
Bi1 0.2868 0.2500 0.9387 [2 per cell]  5 Se 2.85-3.09
Se1 0.0078 0.7500 0.8492 [2 per cell]  1 Ga 2.36
Se2 0.2019 0.7500 0.4696 [2 per cell]  3 Ga 2.51-2.52
Se3 0.5000 0.2500 0.1741 [2 per cell]  3 Bi 2.85-2.93

Record 5
GaBiSe3: relaxed, PBE.

- Offset from the most stable computed form: 2.865 eV/f.u.
- Uncorrected formation energy: 0.089 eV per atom

a b c (Å): 4.9899 4.9899 4.9899
angles (deg): 90.00 90.00 90.00
Closest atoms and distances in Å follow each position.
Space group Pm-3m (No. 221)
Unique sites:
Ga1 0.0000 0.0000 0.0000 [1 per cell]  6 Se 2.49
Bi1 0.5000 0.5000 0.5000 [1 per cell]  12 Se 3.53
Se1 0.0000 0.0000 0.5000 [3 per cell]  2 Ga 2.49

Record 6
GaBi3Se6: relaxed, PBE.

- Uncorrected formation energy: -0.385 eV per atom

a b c (Å): 11.6162 14.4636 6.8984
angles (deg): 90.00 90.00 90.00
Closest atoms and distances in Å follow each position.
Space group Cmc2_1 (No. 36)
Unique sites:
Ga1 0.0000 0.1972 0.0000 [4 per cell]  4 Se 2.42-2.46
Bi1 0.0000 0.4001 0.3712 [4 per cell]  7 Se 2.96-3.27
Bi2 0.1843 0.1048 0.4509 [8 per cell]  6 Se 2.89-3.12
Se1 0.0000 0.0434 0.1492 [4 per cell]  1 Ga 2.45
Se2 0.0000 0.2186 0.6526 [4 per cell]  1 Ga 2.42
Se3 0.1622 0.4729 0.6640 [8 per cell]  4 Bi 2.89-3.00
Se4 0.1645 0.2666 0.1710 [8 per cell]  1 Ga 2.46